Na4Hg2Pb3 after structural relaxation. Source: the Alexandria database, functional PBE.

CIF file:
```
data_Na4Hg2Pb3
_cell_length_a 5.816
_cell_length_b 5.816
_cell_length_c 9.722
_cell_angle_alpha 89.15
_cell_angle_beta 89.15
_cell_angle_gamma 52.07
_symmetry_space_group_name_H-M 'P 1'
_symmetry_Int_Tables_number 1
_symmetry_space_group_name_Hall 'P 1'
loop_
_atom_site_label
_atom_site_fract_x
_atom_site_fract_y
_atom_site_fract_z
Na1 0.704 0.704 0.141
Na2 0.974 0.974 0.669
Na3 0.026 0.026 0.331
Na4 0.296 0.296 0.859
Hg1 0.396 0.396 0.173
Hg2 0.604 0.604 0.827
Pb1 0.339 0.339 0.492
Pb2 0.000 0.000 0.000
Pb3 0.661 0.661 0.508
```

total moment: 0.00 μB per formula unit
symmetry: C2/m, No. 12
theoretical density: 7.1 g/cm³
total energy: -2.06 eV/atom
D(E_F): 3.21 states/eV/cell



BaLi2Pt after structural relaxation. Source: the Alexandria database, functional PBE.

CIF file:
```
data_BaLi2Pt
_cell_length_a 3.677
_cell_length_b 3.677
_cell_length_c 6.518
_cell_angle_alpha 90.00
_cell_angle_beta 90.00
_cell_angle_gamma 90.00
_symmetry_space_group_name_H-M 'P 1'
_symmetry_Int_Tables_number 1
_symmetry_space_group_name_Hall 'P 1'
loop_
_atom_site_label
_atom_site_fract_x
_atom_site_fract_y
_atom_site_fract_z
Ba1 0.500 0.500 0.750
Li1 0.000 0.000 0.084
Li2 0.000 0.000 0.416
Pt1 0.500 0.500 0.250
```

total moment: 0.00 μB per formula unit
offset from the most stable computed form: 279 meV per atom
symmetry: P4/mmm, No. 123
theoretical density: 6.5 g/cm³
total energy: -3.11 eV/atom
D(E_F): 2.24 states/eV/cell



LaYSc2H after structural relaxation. Source: the Alexandria database, functional PBE.

CIF file:
```
data_LaYSc2H
_cell_length_a 4.859
_cell_length_b 4.859
_cell_length_c 4.846
_cell_angle_alpha 90.00
_cell_angle_beta 90.00
_cell_angle_gamma 90.00
_symmetry_space_group_name_H-M 'P 1'
_symmetry_Int_Tables_number 1
_symmetry_space_group_name_Hall 'P 1'
loop_
_atom_site_label
_atom_site_fract_x
_atom_site_fract_y
_atom_site_fract_z
Y1 0.000 0.000 0.500
Sc1 0.000 0.500 0.000
Sc2 0.500 0.000 0.000
H1 0.000 0.000 0.000
La1 0.500 0.500 0.500
```

total moment: 0.00 μB per formula unit
offset from the most stable computed form: 19 meV per atom
symmetry: P4/mmm, No. 123
theoretical density: 4.6 g/cm³
total energy: -5.58 eV/atom
D(E_F): 4.82 states/eV/cell



LaAlV3 after structural relaxation. Source: the Alexandria database, functional PBE.

CIF file:
```
data_LaAlV3
_cell_length_a 4.833
_cell_length_b 4.833
_cell_length_c 4.833
_cell_angle_alpha 90.00
_cell_angle_beta 90.00
_cell_angle_gamma 90.00
_symmetry_space_group_name_H-M 'P 1'
_symmetry_Int_Tables_number 1
_symmetry_space_group_name_Hall 'P 1'
loop_
_atom_site_label
_atom_site_fract_x
_atom_site_fract_y
_atom_site_fract_z
V1 0.000 0.500 0.000
V2 0.000 0.000 0.500
V3 0.500 0.000 0.000
Al1 0.000 0.000 0.000
La1 0.500 0.500 0.500
```

total moment: 8.76 μB per formula unit
offset from the most stable computed form: 0 meV per atom
symmetry: Pm-3m, No. 221
theoretical density: 4.7 g/cm³
total energy: -6.30 eV/atom
D(E_F): 11.05 states/eV/cell



SiIr after structural relaxation. Source: the Alexandria database, functional PBE.

CIF file:
```
data_SiIr
_cell_length_a 8.745
_cell_length_b 8.745
_cell_length_c 4.061
_cell_angle_alpha 90.00
_cell_angle_beta 90.00
_cell_angle_gamma 90.00
_symmetry_space_group_name_H-M 'P 1'
_symmetry_Int_Tables_number 1
_symmetry_space_group_name_Hall 'P 1'
loop_
_atom_site_label
_atom_site_fract_x
_atom_site_fract_y
_atom_site_fract_z
Si1 0.263 0.159 0.000
Si2 0.737 0.841 0.000
Si3 0.841 0.263 0.000
Si4 0.159 0.737 0.000
Si5 0.763 0.659 0.500
Si6 0.237 0.341 0.500
Si7 0.341 0.763 0.500
Si8 0.659 0.237 0.500
Ir1 0.363 0.910 0.000
Ir2 0.637 0.090 0.000
Ir3 0.090 0.363 0.000
Ir4 0.910 0.637 0.000
Ir5 0.863 0.410 0.500
Ir6 0.137 0.590 0.500
Ir7 0.590 0.863 0.500
Ir8 0.410 0.137 0.500
```

total moment: 0.00 μB per formula unit
symmetry: I4/m, No. 87
uncorrected formation energy: -0.78 eV per formula unit
theoretical density: 9.4 g/cm³
total energy: -7.53 eV/atom
D(E_F): 9.33 states/eV/cell



CoSbPb2 after structural relaxation. Source: the Alexandria database, functional PBE.

CIF file:
```
data_CoSbPb2
_cell_length_a 3.338
_cell_length_b 3.338
_cell_length_c 8.544
_cell_angle_alpha 90.00
_cell_angle_beta 90.00
_cell_angle_gamma 90.09
_symmetry_space_group_name_H-M 'P 1'
_symmetry_Int_Tables_number 1
_symmetry_space_group_name_Hall 'P 1'
loop_
_atom_site_label
_atom_site_fract_x
_atom_site_fract_y
_atom_site_fract_z
Co1 0.500 0.500 0.750
Pb1 0.000 0.000 0.943
Pb2 0.000 0.000 0.557
Sb1 0.500 0.500 0.250
```

total moment: 0.86 μB per formula unit
offset from the most stable computed form: 219 meV per atom
symmetry: Cmmm, No. 65
uncorrected formation energy: 1.40 eV per formula unit
theoretical density: 10.4 g/cm³
total energy: -4.31 eV/atom
D(E_F): 3.11 states/eV/cell



GeBr2O after structural relaxation. Source: the Alexandria database, functional PBE.

CIF file:
```
data_GeBr2O
_cell_length_a 3.255
_cell_length_b 9.305
_cell_length_c 9.309
_cell_angle_alpha 90.00
_cell_angle_beta 110.41
_cell_angle_gamma 90.00
_symmetry_space_group_name_H-M 'P 1'
_symmetry_Int_Tables_number 1
_symmetry_space_group_name_Hall 'P 1'
loop_
_atom_site_label
_atom_site_fract_x
_atom_site_fract_y
_atom_site_fract_z
Ge1 0.500 0.963 0.500
Ge2 0.500 0.463 0.000
Br1 0.720 0.329 0.221
Br2 0.280 0.329 0.779
Br3 0.720 0.829 0.721
Br4 0.280 0.829 0.279
O1 0.000 0.560 0.000
O2 0.000 0.060 0.500
```

total moment: 0.00 μB per formula unit
offset from the most stable computed form: 159 meV per atom
symmetry: Imm2, No. 44
uncorrected formation energy: -2.99 eV per formula unit
theoretical density: 3.1 g/cm³
total energy: -3.98 eV/atom
D(E_F): 1.83 states/eV/cell



TaV3Co after structural relaxation. Source: the Alexandria database, functional PBE.

CIF file:
```
data_TaV3Co
_cell_length_a 4.299
_cell_length_b 4.299
_cell_length_c 4.299
_cell_angle_alpha 90.00
_cell_angle_beta 90.00
_cell_angle_gamma 90.00
_symmetry_space_group_name_H-M 'P 1'
_symmetry_Int_Tables_number 1
_symmetry_space_group_name_Hall 'P 1'
loop_
_atom_site_label
_atom_site_fract_x
_atom_site_fract_y
_atom_site_fract_z
Ta1 0.500 0.500 0.500
Co1 0.000 0.000 0.000
V1 0.000 0.500 0.000
V2 0.000 0.000 0.500
V3 0.500 0.000 0.000
```

total moment: 0.00 μB per formula unit
offset from the most stable computed form: 595 meV per atom
symmetry: Pm-3m, No. 221
theoretical density: 8.2 g/cm³
total energy: -8.53 eV/atom
D(E_F): 9.23 states/eV/cell